(1)
PuTh2Te4: relaxed, PBE.

Structure (CIF):
```
data_PuTh2Te4
_chemical_formula_sum 'Pu2 Th4 Te8'
_cell_length_a 7.4970
_cell_length_b 7.4970
_cell_length_c 15.4817
_cell_angle_alpha 90.00
_cell_angle_beta 90.00
_cell_angle_gamma 146.51
_symmetry_space_group_name_H-M 'P 1'
_symmetry_Int_Tables_number 1
loop_
_symmetry_equiv_pos_as_xyz
'x,y,z'
loop_
_atom_site_label
_atom_site_type_symbol
_atom_site_fract_x
_atom_site_fract_y
_atom_site_fract_z
Pu1 Pu 0.1090 0.8910 0.7500
Pu2 Pu 0.8910 0.1090 0.2500
Th1 Th 0.3576 0.6424 0.5628
Th2 Th 0.3576 0.6424 0.9372
Th3 Th 0.6424 0.3576 0.0628
Th4 Th 0.6424 0.3576 0.4372
Te1 Te 0.0000 0.0000 0.0000
Te2 Te 0.0000 0.0000 0.5000
Te3 Te 0.2839 0.7161 0.1324
Te4 Te 0.2839 0.7161 0.3676
Te5 Te 0.4460 0.5540 0.7500
Te6 Te 0.5540 0.4460 0.2500
Te7 Te 0.7161 0.2839 0.6324
Te8 Te 0.7161 0.2839 0.8676
```

Computed properties:
The value obtained for the raw formation energy is -1.04 eV per atom. As for the space group: Cmcm, No. 63.

(2)
PuTh2Te3: relaxed, PBE.

Structure (CIF):
```
data_PuTh2Te3
_chemical_formula_sum 'Pu1 Th2 Te3'
_cell_length_a 8.5399
_cell_length_b 8.5399
_cell_length_c 4.0651
_cell_angle_alpha 90.00
_cell_angle_beta 90.00
_cell_angle_gamma 137.16
_symmetry_space_group_name_H-M 'P 1'
_symmetry_Int_Tables_number 1
loop_
_symmetry_equiv_pos_as_xyz
'x,y,z'
loop_
_atom_site_label
_atom_site_type_symbol
_atom_site_fract_x
_atom_site_fract_y
_atom_site_fract_z
Pu1 Pu 0.0000 0.0000 0.0000
Th1 Th 0.3484 0.6516 0.5000
Th2 Th 0.6516 0.3484 0.5000
Te1 Te 0.1510 0.8490 0.5000
Te2 Te 0.5000 0.5000 0.0000
Te3 Te 0.8490 0.1510 0.5000
```

Computed properties:
The value obtained for the raw formation energy is -0.83 eV per atom. As for the space group: Cmmm, No. 65.